Compound: ZnRuCl
Source: Alexandria via LeMat-Bulk
Functional: PBE
Structure: optimized geometry

a = 4.3847 Å, b = 4.3847 Å, c = 4.3847 Å
α = 60.00°, β = 60.00°, γ = 60.00°
Closest atoms and distances in Å follow each position.
Sites, in units of the cell vectors:
Cl  0.0000  0.0000  0.0000  4 Zn 2.69
Ru  0.5000  0.5000  0.5000  4 Zn 2.69
Zn  0.7500  0.7500  0.7500  4 Cl 2.69, 4 Ru 2.69

Summary:
**Uncorrected formation energy**: 0.970 eV/atom
**Symmetry**: F-43m, No. 216
**Spin magnetization**: 1.74 μB/f.u.